A relaxed structure of InRuBr2, computed with PBE.

The structure belongs to space group Immm (No. 71); the cell edges are 3.323, 4.678 and 14.247 Å and the angles 90.00°, 90.00° and 90.00°. The asymmetric unit holds In at (0.000, 0.000, 0.000), Ru at (0.000, 0.000, 0.500) and Br at (0.000, 0.500, 0.142).

The spin magnetization is 0.002 μB per formula unit. The distance to the lowest polymorph of the same formula comes out at 64 meV per atom. The value obtained for the uncorrected formation energy is -20.8 meV per atom. The value obtained for the total energy is -3.86 eV/atom.